Entry 1:
A relaxed structure of AgP2ClF, computed with GGA-PBE.

Results
For the offset from the most stable computed form, the calculation gives 1.622 eV per formula unit. The electronic total energy comes out at -13.4 eV per cell. The size of the total moment is 1.7 μB/f.u. The density of states at the Fermi level is 1.078 states/eV/atom. The calculated density comes out at 3.2 Mg/m³. The formation energy (no corrections) is 18.3 kcal/mol of atoms. The space group is P4/mmm.

Unit cell a=4.8535 b=4.8535 c=4.9296 alpha=90.00 beta=90.00 gamma=90.00
Sites, in units of the cell vectors:
Cl: 0.0000 0.0000 0.5000
F: 0.5000 0.5000 0.5000
P: 0.5000 0.0000 0.0000
P: 0.0000 0.5000 0.0000
Ag: 0.0000 0.0000 0.0000

***

Entry 2:
A relaxed structure of Ag3PCl2F6, computed with GGA-PBE.

Results
The electronic total energy comes out at -48.6 eV per cell. The size of the total moment is 0.0 μB/f.u. The density of states at the Fermi level is 0.000 states/eV/atom. The calculated density comes out at 4.0 Mg/m³. The formation energy (no corrections) is -38.0 kcal/mol of atoms. The space group is C2/m.

Unit cell a=4.8782 b=6.6960 c=7.6808 alpha=115.84 beta=98.21 gamma=90.00
Sites, in units of the cell vectors:
Cl: 0.8455 0.3185 0.6371
F: 0.2900 0.0814 0.1629
Ag: 0.5000 0.5000 0.5000
F: 0.3112 0.1114 0.8748
F: 0.6888 0.2366 0.1252
Cl: 0.1545 0.6815 0.3629
Ag: 0.0000 0.5000 0.0000
F: 0.3112 0.7634 0.8748
F: 0.6888 0.8886 0.1252
Ag: 0.5000 0.0000 0.5000
P: 0.5000 0.0000 0.0000
F: 0.7100 0.9186 0.8371

***

Entry 3:
A relaxed structure of AgP2ClF, computed with GGA-PBE.

Results
For the offset from the most stable computed form, the calculation gives 0.000 eV per formula unit. The electronic total energy comes out at -15.0 eV per cell. The size of the total moment is 0.0 μB/f.u. The density of states at the Fermi level is 0.881 states/eV/atom. The calculated density comes out at 3.7 Mg/m³. The formation energy (no corrections) is 10.8 kcal/mol of atoms. The space group is P4/mmm.

Unit cell a=4.0788 b=6.0333 c=4.0788 alpha=90.00 beta=90.00 gamma=90.00
Sites, in units of the cell vectors:
Cl: 0.0000 0.5000 0.0000
Ag: 0.5000 0.5000 0.5000
F: 0.0000 0.0000 0.0000
P: 0.0000 0.0000 0.5000
P: 0.5000 0.0000 0.0000

***

Entry 4:
A relaxed structure of AgPbClF2, computed with GGA-PBE.

Results
The electronic total energy comes out at -39.8 eV per cell. The size of the total moment is 0.0 μB/f.u. The density of states at the Fermi level is 0.000 states/eV/atom. The calculated density comes out at 6.6 Mg/m³. The formation energy (no corrections) is -35.6 kcal/mol of atoms. The space group is P2_1/m.

Unit cell a=4.0390 b=7.8994 c=8.1770 alpha=131.66 beta=90.00 gamma=90.00
Sites, in units of the cell vectors:
Cl: 0.7500 0.2514 0.1773
Ag: 0.7500 0.4499 0.5887
F: 0.2500 0.6142 0.1597
Cl: 0.2500 0.7486 0.8227
F: 0.2500 0.1070 0.4615
Pb: 0.2500 0.1748 0.7888
F: 0.7500 0.3858 0.8403
F: 0.7500 0.8930 0.5385
Pb: 0.7500 0.8252 0.2112
Ag: 0.2500 0.5501 0.4113

***

Entry 5:
A relaxed structure of Ag2PbCl2F2, computed with GGA-PBE.

Results
The electronic total energy comes out at -24.7 eV per cell. The size of the total moment is 0.0 μB/f.u. The density of states at the Fermi level is 0.000 states/eV/atom. The calculated density comes out at 5.3 Mg/m³. The formation energy (no corrections) is -25.7 kcal/mol of atoms. The space group is P-1.

Unit cell a=4.1713 b=7.3867 c=7.7926 alpha=54.05 beta=73.45 gamma=58.53
Sites, in units of the cell vectors:
Ag: 0.0651 0.6747 0.5828
Cl: 0.2986 0.0794 0.2380
F: 0.2597 0.5789 0.3083
Ag: 0.9349 0.3253 0.4172
Cl: 0.7014 0.9206 0.7620
Pb: 0.0000 0.0000 0.0000
F: 0.7403 0.4211 0.6917

***

Entry 6:
A relaxed structure of Ag2PbClF, computed with GGA-PBE.

Results
The electronic total energy comes out at -14.8 eV per cell. The size of the total moment is 0.0 μB/f.u. The density of states at the Fermi level is 0.389 states/eV/atom. The calculated density comes out at 6.7 Mg/m³. The formation energy (no corrections) is -7.8 kcal/mol of atoms. The space group is P4/mmm.

Unit cell a=4.4950 b=5.8388 c=4.4950 alpha=90.00 beta=90.00 gamma=90.00
Sites, in units of the cell vectors:
Cl: 0.0000 0.5000 0.0000
Ag: 0.0000 0.0000 0.5000
F: 0.0000 0.0000 0.0000
Pb: 0.5000 0.5000 0.5000
Ag: 0.5000 0.0000 0.0000

***

Entry 7:
A relaxed structure of Ag3PdCl2F6, computed with GGA-PBE.

Results
The electronic total energy comes out at -40.9 eV per cell. The size of the total moment is 0.0 μB/f.u. The density of states at the Fermi level is 0.689 states/eV/atom. The calculated density comes out at 4.9 Mg/m³. The formation energy (no corrections) is -23.4 kcal/mol of atoms. The space group is C2/m.

Unit cell a=4.9023 b=6.6932 c=7.2007 alpha=117.69 beta=88.55 gamma=90.00
Sites, in units of the cell vectors:
F: 0.2858 0.7196 0.8690
F: 0.7142 0.8506 0.1310
F: 0.2858 0.1494 0.8690
Ag: 0.5000 0.5000 0.5000
Cl: 0.1736 0.6821 0.3643
Pd: 0.5000 0.0000 0.0000
F: 0.7193 0.8693 0.7387
Ag: 0.5000 0.0000 0.5000
Ag: 0.0000 0.5000 0.0000
Cl: 0.8264 0.3179 0.6357
F: 0.7142 0.2804 0.1310
F: 0.2807 0.1307 0.2613

***

Entry 8:
A relaxed structure of AgPdClF2, computed with GGA-PBE.

Results
The electronic total energy comes out at -35.9 eV per cell. The size of the total moment is 0.0 μB/f.u. The density of states at the Fermi level is 0.270 states/eV/atom. The calculated density comes out at 5.7 Mg/m³. The formation energy (no corrections) is -19.9 kcal/mol of atoms. The space group is Cmcm.

Unit cell a=3.6775 b=6.7595 c=7.0563 alpha=90.00 beta=90.00 gamma=105.78
Sites, in units of the cell vectors:
Cl: 0.4952 0.9905 0.7500
Pd: 0.0000 0.0000 0.5000
F: 0.8431 0.6863 0.0194
F: 0.8431 0.6863 0.4806
F: 0.1569 0.3137 0.9806
F: 0.1569 0.3137 0.5194
Ag: 0.7246 0.4492 0.7500
Ag: 0.2754 0.5508 0.2500
Pd: 0.0000 0.0000 0.0000
Cl: 0.5048 0.0095 0.2500

***

Entry 9:
A relaxed structure of Ag2PtCl2F4, computed with GGA-PBE.

Results
The electronic total energy comes out at -31.6 eV per cell. The size of the total moment is 0.0 μB/f.u. The calculated density comes out at 5.8 Mg/m³. The formation energy (no corrections) is -22.1 kcal/mol of atoms. The space group is C2/m.

Unit cell a=4.9878 b=6.3601 c=6.3601 alpha=54.00 beta=102.53 gamma=102.53
Sites, in units of the cell vectors:
Cl: 0.6482 0.8209 0.8209
F: 0.2346 0.1924 0.6824
Cl: 0.3518 0.1791 0.1791
F: 0.2346 0.6824 0.1924
F: 0.7654 0.8076 0.3176
Ag: 0.7775 0.3700 0.3700
F: 0.7654 0.3176 0.8076
Pt: 0.5000 0.0000 0.0000
Ag: 0.2225 0.6300 0.6300

***

Entry 10:
A relaxed structure of PuAg3Cl2F6, computed with GGA-PBE.

Results
The electronic total energy comes out at -60.7 eV per cell. The size of the total moment is 3.0 μB/f.u. The density of states at the Fermi level is 1.064 states/eV/atom. The calculated density comes out at 4.9 Mg/m³. The formation energy (no corrections) is -44.0 kcal/mol of atoms. The space group is C2/m.

Unit cell a=4.9879 b=7.2032 c=7.9674 alpha=116.87 beta=95.51 gamma=90.00
Sites, in units of the cell vectors:
F: 0.2478 0.1515 0.8812
Ag: 0.5000 0.0000 0.5000
Ag: 0.0000 0.5000 0.0000
Ag: 0.5000 0.5000 0.5000
Cl: 0.7784 0.3272 0.6544
F: 0.7522 0.8485 0.1188
F: 0.3076 0.1246 0.2491
Cl: 0.2216 0.6728 0.3456
F: 0.2478 0.7296 0.8812
F: 0.6924 0.8754 0.7509
F: 0.7522 0.2704 0.1188
Pu: 0.5000 0.0000 0.0000

***

Copy entry 5 word for word.
A relaxed structure of Ag2PbCl2F2, computed with GGA-PBE.

Results
The electronic total energy comes out at -24.7 eV per cell. The size of the total moment is 0.0 μB/f.u. The density of states at the Fermi level is 0.000 states/eV/atom. The calculated density comes out at 5.3 Mg/m³. The formation energy (no corrections) is -25.7 kcal/mol of atoms. The space group is P-1.

Unit cell a=4.1713 b=7.3867 c=7.7926 alpha=54.05 beta=73.45 gamma=58.53
Sites, in units of the cell vectors:
Ag: 0.0651 0.6747 0.5828
Cl: 0.2986 0.0794 0.2380
F: 0.2597 0.5789 0.3083
Ag: 0.9349 0.3253 0.4172
Cl: 0.7014 0.9206 0.7620
Pb: 0.0000 0.0000 0.0000
F: 0.7403 0.4211 0.6917

***

size of the total moment of number 5 (Ag2PbCl2F2)?
0.0 μB/f.u.